(1)
# Zr4PN3

An optimized crystal structure of Zr4PN3 (PBE-GGA, the Alexandria database).

Results
N(E_F)	5.2	states/eV/cell
total DFT energy (no corrections)	-9.350	eV per atom
space group	No. 221

Lattice parameters (Å, degrees): 4.821 4.821 4.821 90.00 90.00 90.00
Fractional positions:
Zr1 0.500 0.000 0.000
Zr2 0.000 0.000 0.500
Zr3 0.000 0.500 0.000
Zr4 0.500 0.500 0.500
N1 0.500 0.500 0.000
N2 0.500 0.000 0.500
N3 0.000 0.500 0.500
P1 0.000 0.000 0.000

---

(2)
# GdMg2Pb

An optimized crystal structure of GdMg2Pb (PBE-GGA, the Alexandria database).

Results
N(E_F)	5.6	states/eV/cell
energy of formation	-0.0506	eV per atom
total DFT energy (no corrections)	-5.295	eV per atom
space group	No. 225

Lattice parameters (Å, degrees): 5.303 5.303 5.299 59.98 59.98 60.00
Last column: magnetic moment on the atom in μB.
Fractional positions:
Pb1 0.500 0.500 0.500  -0.01
Mg1 0.250 0.250 0.249  0.01
Mg2 0.750 0.750 0.751  0.01
Gd1 0.000 0.000 0.000  7.17

---

- The lowest total DFT energy (no corrections) belongs to which entry?
  Zr4PN3